First-principles (PBE) data for Sc2TaO after structural relaxation, as listed in Alexandria.

Summary:
space-group type	No. 122
total DFT energy (no corrections)	-0.302	Ha/atom
DOS at the Fermi energy	1.205	states/eV per atom
total moment	0.021	μB/cell
calculated volume	154.8	Å³ per cell
ΔE_f (raw)	-0.85	eV/atom

Unit cell a=6.254 b=6.254 c=5.935 alpha=58.21 beta=58.21 gamma=90.00
Element x y z (fractional)
Sc 0.497 0.125 0.250
Sc 0.253 0.625 0.250
Sc 0.375 0.503 0.750
Sc 0.875 0.747 0.750
O 0.500 0.500 0.000
O 0.250 0.750 0.500
Ta 0.000 0.000 0.000
Ta 0.750 0.250 0.500

First-principles (PBE) data for Pm2DyEr6 after structural relaxation, as listed in Alexandria.

Summary:
space-group type	No. 15
total DFT energy (no corrections)	-0.165	Ha/atom
DOS at the Fermi energy	1.274	states/eV per atom
energy relative to the elements	110	meV/atom
total moment	0.000	μB/cell
calculated volume	572.6	Å³ per cell

Unit cell a=6.528 b=9.529 c=9.529 alpha=95.96 beta=80.82 gamma=80.82
Element x y z (fractional)
Pm 0.127 0.617 0.669
Pm 0.373 0.331 0.383
Pm 0.873 0.383 0.331
Pm 0.627 0.669 0.617
Dy 0.250 0.118 0.882
Dy 0.750 0.882 0.118
Er 0.503 0.652 0.276
Er 0.997 0.724 0.348
Er 0.497 0.348 0.724
Er 0.003 0.276 0.652
Er 0.731 0.059 0.462
Er 0.769 0.538 0.941
Er 0.269 0.941 0.538
Er 0.231 0.462 0.059
Er 0.315 0.779 0.957
Er 0.185 0.043 0.221
Er 0.685 0.221 0.043
Er 0.815 0.957 0.779

First-principles (PBE) data for NpPd4 after structural relaxation, as listed in Alexandria.

Summary:
space-group type	No. 74
total DFT energy (no corrections)	-0.261	Ha/atom
DOS at the Fermi energy	2.652	states/eV per atom
energy relative to the elements	-358	meV/atom
total moment	6.378	μB/cell
calculated volume	174.2	Å³ per cell

Unit cell a=4.329 b=5.740 c=7.879 alpha=111.36 beta=105.95 gamma=90.00
Last column: magnetic moment on the atom in μB.
Element x y z (fractional)
Np 0.889 0.139 0.778  3.35
Np 0.111 0.861 0.222  3.35
Pd 0.103 0.353 0.207  -0.06
Pd 0.897 0.647 0.793  -0.06
Pd 0.500 0.000 0.000  -0.08
Pd 0.500 0.500 0.000  -0.08
Pd 0.694 0.204 0.389  -0.08
Pd 0.306 0.796 0.611  -0.08
Pd 0.306 0.315 0.611  -0.08
Pd 0.694 0.685 0.389  -0.08